Material: U6Al8Fe5Si9
Method: DFT, PBE
State: relaxed

abc: 11.0944 11.0944 11.0944
angles: 158.83 113.45 70.70
With the nearest neighbours (Å) after each atom.
Positions (direct):
Al: 0.1495 0.0000 0.1495  4 Si 2.59, 2 Fe 2.73
Al: 0.8505 0.0000 0.8505  4 Si 2.59, 2 Fe 2.73
Al: 0.6157 0.6157 0.0000  4 Si 2.73-2.92, 4 Al 2.90-2.97, 4 U 3.05
Al: 0.2649 0.7649 0.5000  2 Fe 2.44, 4 Si 2.58
Al: 0.3350 0.5000 0.8350  4 Si 2.72-2.86, 4 Al 2.90-3.04
Al: 0.3843 0.3843 0.0000  4 Si 2.73-2.92, 4 Al 2.90-2.97, 4 U 3.05
Al: 0.6650 0.5000 0.1650  4 Si 2.72-2.86, 4 Al 2.90-3.04
Al: 0.7351 0.2351 0.5000  2 Fe 2.44, 4 Si 2.58
U: 0.1883 0.8747 0.3137  5 Si 2.89-3.21, 3 Fe 2.91-3.03, 6 Al 3.02-3.06
U: 0.5610 0.8747 0.6863  5 Si 2.89-3.21, 3 Fe 2.91-3.03, 6 Al 3.02-3.06
U: 0.4390 0.1253 0.3137  5 Si 2.89-3.21, 3 Fe 2.91-3.03, 6 Al 3.02-3.06
U: 0.8718 0.8718 0.0000  6 Si 2.86-2.89, 4 Al 2.95-3.21, 2 Fe 3.09
U: 0.1282 0.1282 0.0000  6 Si 2.86-2.89, 4 Al 2.95-3.21, 2 Fe 3.09
U: 0.8117 0.1253 0.6863  5 Si 2.89-3.21, 3 Fe 2.91-3.03, 6 Al 3.02-3.06
Fe: 0.3991 0.7139 0.6852  4 Si 2.29-2.31, 1 Al 2.44
Fe: 0.0000 0.5000 0.5000  4 Si 2.47, 4 Al 2.73
Fe: 0.6009 0.2861 0.3148  4 Si 2.29-2.31, 1 Al 2.44
Fe: 0.0286 0.7139 0.3148  4 Si 2.29-2.31, 1 Al 2.44
Fe: 0.9714 0.2861 0.6852  4 Si 2.29-2.31, 1 Al 2.44
Si: 0.6079 0.7384 0.8696  3 Fe 2.29-2.31
Si: 0.1312 0.2616 0.8696  3 Fe 2.29-2.31
Si: 0.2429 0.5884 0.6545  2 Fe 2.30-2.47
Si: 0.9339 0.5884 0.3455  2 Fe 2.30-2.47
Si: 0.3921 0.2616 0.1304  3 Fe 2.29-2.31
Si: 0.7571 0.4116 0.3455  2 Fe 2.30-2.47
Si: 0.5000 0.0000 0.5000  8 Al 2.86-2.92
Si: 0.0661 0.4116 0.6545  2 Fe 2.30-2.47
Si: 0.8688 0.7384 0.1304  3 Fe 2.29-2.31

## Properties
As for the volume: 449 Å³/f.u. Its electronic total energy is -7.10 eV per atom.



Material: Sm12Al5Fe14
Method: DFT, PBE
State: relaxed

abc: 9.2927 9.2927 8.8259
angles: 90.00 90.00 120.00
With the nearest neighbours (Å) after each atom.
Positions (direct):
Fe: 0.8112 0.9056 0.2891  4 Fe 2.39-2.63
Fe: 0.0000 0.0000 0.5000  12 Fe 2.40-2.56
Fe: 0.0944 0.9056 0.2891  4 Fe 2.39-2.63
Fe: 0.1581 0.8419 0.5337  4 Fe 2.39-2.61
Fe: 0.9056 0.8112 0.7109  4 Fe 2.39-2.63
Fe: 0.1888 0.0944 0.7109  4 Fe 2.39-2.63
Fe: 0.0000 0.0000 0.0000  6 Fe 2.97, 6 Sm 2.99
Fe: 0.0944 0.1888 0.2891  4 Fe 2.39-2.63
Fe: 0.9056 0.0944 0.7109  4 Fe 2.39-2.63
Fe: 0.8419 0.1581 0.4663  4 Fe 2.39-2.61
Fe: 0.3162 0.1581 0.4663  4 Fe 2.39-2.61
Fe: 0.6838 0.8419 0.5337  4 Fe 2.39-2.61
Fe: 0.1581 0.3162 0.5337  4 Fe 2.39-2.61
Fe: 0.8419 0.6838 0.4663  4 Fe 2.39-2.61
Sm: 0.8274 0.6548 0.1244  4 Fe 2.81-3.03, 2 Al 2.86
Sm: 0.0776 0.5388 0.3326  3 Al 3.00-3.34, 6 Fe 3.09-3.36, 1 Sm 3.21
Sm: 0.6548 0.8274 0.8756  4 Fe 2.81-3.03, 2 Al 2.86
Sm: 0.5388 0.4612 0.6674  3 Al 3.00-3.34, 6 Fe 3.09-3.36, 1 Sm 3.21
Sm: 0.9224 0.4612 0.6674  3 Al 3.00-3.34, 6 Fe 3.09-3.36, 1 Sm 3.21
Sm: 0.3452 0.1726 0.1244  4 Fe 2.81-3.03, 2 Al 2.86
Sm: 0.1726 0.8274 0.8756  4 Fe 2.81-3.03, 2 Al 2.86
Sm: 0.4612 0.9224 0.3326  3 Al 3.00-3.34, 6 Fe 3.09-3.36, 1 Sm 3.21
Sm: 0.8274 0.1726 0.1244  4 Fe 2.81-3.03, 2 Al 2.86
Sm: 0.4612 0.5388 0.3326  3 Al 3.00-3.34, 6 Fe 3.09-3.36, 1 Sm 3.21
Sm: 0.5388 0.0776 0.6674  3 Al 3.00-3.34, 6 Fe 3.09-3.36, 1 Sm 3.21
Sm: 0.1726 0.3452 0.8756  4 Fe 2.81-3.03, 2 Al 2.86
Al: 0.6667 0.3333 0.3890  3 Fe 2.90, 3 Sm 3.20
Al: 0.0000 0.5000 0.0000  6 Sm 2.86-3.00
Al: 0.3333 0.6667 0.6110  3 Fe 2.90, 3 Sm 3.20
Al: 0.5000 0.5000 0.0000  6 Sm 2.86-3.00
Al: 0.5000 0.0000 0.0000  6 Sm 2.86-3.00

## Properties
As for the volume: 660 Å³/f.u. Its electronic total energy is -6.04 eV per atom.



Material: SmAl8Fe4
Method: DFT, PBE
State: relaxed

abc: 6.6668 6.6668 6.6668
angles: 98.16 98.16 135.72
With the nearest neighbours (Å) after each atom.
Positions (direct):
Fe: 0.0000 0.0000 0.5000  2 Fe 2.51, 8 Al 2.53-2.64
Fe: 0.5000 0.0000 0.0000  2 Fe 2.51, 8 Al 2.53-2.64
Fe: 0.5000 0.5000 0.5000  2 Fe 2.51, 8 Al 2.53-2.64
Fe: 0.0000 0.5000 0.0000  2 Fe 2.51, 8 Al 2.53-2.64
Sm: 0.0000 0.0000 0.0000  12 Al 2.98-3.18, 8 Fe 3.33
Al: 0.5000 0.7227 0.2227  4 Fe 2.53, 6 Al 2.72-2.79
Al: 0.0000 0.6583 0.6583  4 Fe 2.64, 5 Al 2.72-2.79
Al: 0.7227 0.5000 0.2227  4 Fe 2.53, 6 Al 2.72-2.79
Al: 0.2773 0.5000 0.7773  4 Fe 2.53, 6 Al 2.72-2.79
Al: 0.3417 0.0000 0.3417  4 Fe 2.64, 5 Al 2.72-2.79
Al: 0.6583 0.0000 0.6583  4 Fe 2.64, 5 Al 2.72-2.79
Al: 0.5000 0.2773 0.7773  4 Fe 2.53, 6 Al 2.72-2.79
Al: 0.0000 0.3417 0.3417  4 Fe 2.64, 5 Al 2.72-2.79

## Properties
As for the volume: 192 Å³/f.u. Its electronic total energy is -5.64 eV per atom.



Material: AlFe6Sn
Method: DFT, PBE
State: relaxed

abc: 4.1328 4.1328 5.8565
angles: 90.00 90.00 90.00
With the nearest neighbours (Å) after each atom.
Positions (direct):
Fe: 0.5000 0.5000 0.5000  8 Fe 2.48
Fe: 0.0000 0.5000 0.2656  2 Al 2.48, 5 Fe 2.48-2.75, 2 Sn 2.59
Fe: 0.5000 0.0000 0.2656  2 Al 2.48, 5 Fe 2.48-2.75, 2 Sn 2.59
Fe: 0.0000 0.5000 0.7344  2 Al 2.48, 5 Fe 2.48-2.75, 2 Sn 2.59
Fe: 0.5000 0.0000 0.7344  2 Al 2.48, 5 Fe 2.48-2.75, 2 Sn 2.59
Fe: 0.0000 0.0000 0.0000  8 Fe 2.59
Al: 0.0000 0.0000 0.5000  8 Fe 2.48
Sn: 0.5000 0.5000 0.0000  8 Fe 2.59

## Properties
As for the volume: 100 Å³/f.u. Its electronic total energy is -7.26 eV per atom.



Material: AlFe2Sn
Method: DFT, PBE
State: relaxed

abc: 5.9782 5.9782 5.9782
angles: 90.00 90.00 90.00
With the nearest neighbours (Å) after each atom.
Positions (direct):
Al: 0.0000 0.5000 0.0000  8 Fe 2.56
Al: 0.0000 0.0000 0.5000  8 Fe 2.56
Al: 0.5000 0.0000 0.0000  8 Fe 2.56
Al: 0.0000 0.0000 0.0000  8 Fe 2.51
Sn: 0.0000 0.5000 0.5000  8 Fe 2.62
Sn: 0.5000 0.0000 0.5000  8 Fe 2.62
Sn: 0.5000 0.5000 0.5000  8 Fe 2.67
Sn: 0.5000 0.5000 0.0000  8 Fe 2.62
Fe: 0.2426 0.7574 0.2426  4 Al 2.51-2.56, 4 Sn 2.62-2.67
Fe: 0.7574 0.7574 0.7574  4 Al 2.51-2.56, 4 Sn 2.62-2.67
Fe: 0.7574 0.7574 0.2426  4 Al 2.51-2.56, 4 Sn 2.62-2.67
Fe: 0.2426 0.2426 0.7574  4 Al 2.51-2.56, 4 Sn 2.62-2.67
Fe: 0.2426 0.7574 0.7574  4 Al 2.51-2.56, 4 Sn 2.62-2.67
Fe: 0.7574 0.2426 0.2426  4 Al 2.51-2.56, 4 Sn 2.62-2.67
Fe: 0.7574 0.2426 0.7574  4 Al 2.51-2.56, 4 Sn 2.62-2.67
Fe: 0.2426 0.2426 0.2426  4 Al 2.51-2.56, 4 Sn 2.62-2.67

## Properties
As for the volume: 53 Å³/f.u. Its electronic total energy is -6.09 eV per atom.



Material: AlFe2Sn
Method: DFT, PBE
State: relaxed

abc: 5.9782 5.9782 5.9782
angles: 90.00 90.00 90.00
With the nearest neighbours (Å) after each atom.
Positions (direct):
Al: 0.5000 0.5000 0.0000  8 Fe 2.56
Al: 0.5000 0.5000 0.5000  8 Fe 2.51
Al: 0.5000 0.0000 0.5000  8 Fe 2.56
Al: 0.0000 0.5000 0.5000  8 Fe 2.56
Fe: 0.2575 0.7425 0.2575  4 Al 2.51-2.56, 4 Sn 2.62-2.67
Fe: 0.2575 0.7425 0.7425  4 Al 2.51-2.56, 4 Sn 2.62-2.67
Fe: 0.2575 0.2575 0.7425  4 Al 2.51-2.56, 4 Sn 2.62-2.67
Fe: 0.2575 0.2575 0.2575  4 Al 2.51-2.56, 4 Sn 2.62-2.67
Fe: 0.7425 0.2575 0.2575  4 Al 2.51-2.56, 4 Sn 2.62-2.67
Fe: 0.7425 0.7425 0.7425  4 Al 2.51-2.56, 4 Sn 2.62-2.67
Fe: 0.7425 0.2575 0.7425  4 Al 2.51-2.56, 4 Sn 2.62-2.67
Fe: 0.7425 0.7425 0.2575  4 Al 2.51-2.56, 4 Sn 2.62-2.67
Sn: 0.5000 0.0000 0.0000  8 Fe 2.62
Sn: 0.0000 0.0000 0.5000  8 Fe 2.62
Sn: 0.0000 0.5000 0.0000  8 Fe 2.62
Sn: 0.0000 0.0000 0.0000  8 Fe 2.67

## Properties
As for the volume: 53 Å³/f.u. Its electronic total energy is -6.09 eV per atom.



Material: Al2FeSn
Method: DFT, PBE
State: relaxed

abc: 4.4803 4.4803 4.4803
angles: 60.00 60.00 60.00
With the nearest neighbours (Å) after each atom.
Positions (direct):
Sn: 0.5000 0.5000 0.5000  4 Fe 2.74, 4 Al 2.74
Al: 0.7500 0.7500 0.7500  4 Sn 2.74, 4 Al 2.74
Al: 0.0000 0.0000 0.0000  4 Fe 2.74, 4 Al 2.74
Fe: 0.2500 0.2500 0.2500  4 Sn 2.74, 4 Al 2.74

## Properties
As for the volume: 64 Å³/f.u. Its electronic total energy is -4.61 eV per atom.



Material: AlFeSn2
Method: DFT, PBE
State: relaxed

abc: 4.7651 4.7651 4.7651
angles: 60.00 60.00 60.00
With the nearest neighbours (Å) after each atom.
Positions (direct):
Al: 0.5000 0.5000 0.5000  4 Sn 2.92, 4 Fe 2.92
Sn: 0.7500 0.7500 0.7500  4 Sn 2.92, 4 Al 2.92
Sn: 0.0000 0.0000 0.0000  4 Sn 2.92, 4 Fe 2.92
Fe: 0.2500 0.2500 0.2500  4 Sn 2.92, 4 Al 2.92

## Properties
As for the volume: 77 Å³/f.u. Its electronic total energy is -4.50 eV per atom.



Material: Sr2AlFe
Method: DFT, PBE
State: relaxed

abc: 5.1367 5.1367 5.1367
angles: 60.00 60.00 60.00
With the nearest neighbours (Å) after each atom.
Positions (direct):
Fe: 0.2500 0.2500 0.2500  4 Al 3.15, 4 Sr 3.15
Al: 0.5000 0.5000 0.5000  4 Fe 3.15, 4 Sr 3.15
Sr: 0.0000 0.0000 0.0000  4 Sr 3.15, 4 Fe 3.15
Sr: 0.7500 0.7500 0.7500  4 Sr 3.15, 4 Al 3.15

## Properties
As for the volume: 96 Å³/f.u. Its electronic total energy is -3.39 eV per atom.



Material: SrAl2Fe
Method: DFT, PBE
State: relaxed

abc: 4.8291 4.8291 4.8291
angles: 60.00 60.00 60.00
With the nearest neighbours (Å) after each atom.
Positions (direct):
Al: 0.7500 0.7500 0.7500  4 Sr 2.96, 4 Al 2.96
Al: 0.0000 0.0000 0.0000  4 Al 2.96, 4 Fe 2.96
Sr: 0.5000 0.5000 0.5000  4 Al 2.96, 4 Fe 2.96
Fe: 0.2500 0.2500 0.2500  4 Sr 2.96, 4 Al 2.96

## Properties
As for the volume: 80 Å³/f.u. Its electronic total energy is -4.00 eV per atom.



Material: TaAl2Fe
Method: DFT, PBE
State: relaxed

abc: 4.3328 4.3328 4.3328
angles: 60.00 60.00 60.00
With the nearest neighbours (Å) after each atom.
Positions (direct):
Fe: 0.2500 0.2500 0.2500  4 Ta 2.65, 4 Al 2.65
Al: 0.0000 0.0000 0.0000  4 Fe 2.65, 4 Al 2.65
Al: 0.7500 0.7500 0.7500  4 Ta 2.65, 4 Al 2.65
Ta: 0.5000 0.5000 0.5000  4 Al 2.65, 4 Fe 2.65

## Properties
As for the volume: 58 Å³/f.u. Its electronic total energy is -7.06 eV per atom.



Material: YTaAlFe
Method: DFT, PBE
State: relaxed

abc: 4.6027 4.6027 4.6027
angles: 60.00 60.00 60.00
With the nearest neighbours (Å) after each atom.
Positions (direct):
Al: 0.0000 0.0000 0.0000  4 Fe 2.82, 4 Y 2.82
Y: 0.2500 0.2500 0.2500  4 Al 2.82, 4 Ta 2.82
Fe: 0.7500 0.7500 0.7500  4 Al 2.82, 4 Ta 2.82
Ta: 0.5000 0.5000 0.5000  4 Fe 2.82, 4 Y 2.82

## Properties
As for the volume: 69 Å³/f.u. The value obtained for the polymorph energy (0 for the lowest one) is 0 kJ/mol of formula units.



Material: ZrTaAlFe
Method: DFT, PBE
State: relaxed

abc: 4.5278 4.5278 4.5278
angles: 60.00 60.00 60.00
With the nearest neighbours (Å) after each atom.
Positions (direct):
Zr: 0.2500 0.2500 0.2500  4 Al 2.77, 4 Ta 2.77
Ta: 0.5000 0.5000 0.5000  4 Zr 2.77, 4 Fe 2.77
Al: 0.0000 0.0000 0.0000  4 Zr 2.77, 4 Fe 2.77
Fe: 0.7500 0.7500 0.7500  4 Ta 2.77, 4 Al 2.77

## Properties
As for the volume: 66 Å³/f.u. The value obtained for the polymorph energy (0 for the lowest one) is 0 kJ/mol of formula units.



Material: TbAl10Fe2
Method: DFT, PBE
State: relaxed

abc: 6.7536 6.7536 8.9666
angles: 90.00 90.00 97.19
With the nearest neighbours (Å) after each atom.
Positions (direct):
Al: 0.6252 0.3748 0.9514  6 Al 2.55-2.78, 2 Fe 2.60
Al: 0.8417 0.1583 0.0973  6 Al 2.55-2.82, 2 Fe 2.57
Al: 0.7807 0.5214 0.2500  7 Al 2.59-2.88, 2 Fe 2.70
Al: 0.8417 0.1583 0.4027  6 Al 2.55-2.82, 2 Fe 2.57
Al: 0.1583 0.8417 0.9027  6 Al 2.55-2.82, 2 Fe 2.57
Al: 0.4147 0.1354 0.7500  2 Fe 2.51, 6 Al 2.59-2.81
Al: 0.6252 0.3748 0.5486  6 Al 2.55-2.78, 2 Fe 2.60
Al: 0.3748 0.6252 0.0486  6 Al 2.55-2.78, 2 Fe 2.60
Al: 0.7726 0.7726 0.5000  2 Fe 2.54, 8 Al 2.68-2.82
Al: 0.2274 0.2274 0.0000  2 Fe 2.54, 8 Al 2.68-2.82
Al: 0.8646 0.5853 0.7500  2 Fe 2.51, 6 Al 2.59-2.81
Al: 0.5853 0.8646 0.2500  2 Fe 2.51, 6 Al 2.59-2.81
Al: 0.1354 0.4147 0.2500  2 Fe 2.51, 6 Al 2.59-2.81
Al: 0.1583 0.8417 0.5973  6 Al 2.55-2.82, 2 Fe 2.57
Al: 0.2193 0.4786 0.7500  7 Al 2.59-2.88, 2 Fe 2.70
Al: 0.7726 0.7726 0.0000  2 Fe 2.54, 8 Al 2.68-2.82
Al: 0.3748 0.6252 0.4514  6 Al 2.55-2.78, 2 Fe 2.60
Al: 0.4786 0.2193 0.2500  7 Al 2.59-2.88, 2 Fe 2.70
Al: 0.5214 0.7807 0.7500  7 Al 2.59-2.88, 2 Fe 2.70
Al: 0.2274 0.2274 0.5000  2 Fe 2.54, 8 Al 2.68-2.82
Fe: 0.5000 0.0000 0.0000  10 Al 2.51-2.70
Fe: 0.5000 0.0000 0.5000  10 Al 2.51-2.70
Fe: 0.0000 0.5000 0.0000  10 Al 2.51-2.70
Fe: 0.0000 0.5000 0.5000  10 Al 2.51-2.70
Tb: 0.1255 0.8745 0.2500  14 Al 3.10-3.28, 4 Fe 3.41
Tb: 0.8745 0.1255 0.7500  14 Al 3.10-3.28, 4 Fe 3.41

## Properties
As for the volume: 203 Å³/f.u. Its electronic total energy is -4.88 eV per atom.



Material: TbTmAl4Fe2
Method: DFT, PBE
State: relaxed

abc: 7.0456 5.3972 5.3972
angles: 43.83 90.00 90.00
With the nearest neighbours (Å) after each atom.
Positions (direct):
Tb: 0.0000 0.4378 0.4378  3 Fe 2.76-3.02
Fe: 0.0000 0.7135 0.7135  6 Al 2.51-2.53, 1 Tb 2.76
Fe: 0.5000 0.2860 0.2860  6 Al 2.49-2.51, 1 Tm 2.77
Al: 0.6919 0.8441 0.8441  3 Fe 2.49-2.53, 1 Al 2.70
Al: 0.8042 0.1560 0.1560  3 Fe 2.51, 1 Al 2.76
Al: 0.1958 0.1560 0.1560  3 Fe 2.51, 1 Al 2.76
Al: 0.3081 0.8441 0.8441  3 Fe 2.49-2.53, 1 Al 2.70
Tm: 0.5000 0.5626 0.5626  3 Fe 2.77-3.01, 4 Al 3.09

## Properties
As for the volume: 142 Å³/f.u. Its electronic total energy is -5.45 eV per atom.



Material: TbYAl4Fe2
Method: DFT, PBE
State: relaxed

abc: 7.0280 5.4861 5.4861
angles: 43.27 90.00 90.00
With the nearest neighbours (Å) after each atom.
Positions (direct):
Tb: 0.0000 0.4381 0.4381  3 Fe 2.81-3.06, 4 Al 3.11
Fe: 0.5000 0.2860 0.2860  6 Al 2.50-2.52
Fe: 0.0000 0.7136 0.7136  6 Al 2.51-2.53
Al: 0.1937 0.1568 0.1568  3 Fe 2.51-2.52, 1 Al 2.72
Al: 0.3070 0.8434 0.8434  3 Fe 2.50-2.53, 1 Al 2.71
Al: 0.6930 0.8434 0.8434  3 Fe 2.50-2.53, 1 Al 2.71
Al: 0.8063 0.1568 0.1568  3 Fe 2.51-2.52, 1 Al 2.72
Y: 0.5000 0.5621 0.5621  3 Fe 2.82-3.05, 4 Al 3.11

## Properties
As for the volume: 145 Å³/f.u. Its electronic total energy is -5.70 eV per atom.



Material: AlFe2Tc
Method: DFT, PBE
State: relaxed

abc: 4.1384 4.1384 4.1384
angles: 60.00 60.00 60.00
With the nearest neighbours (Å) after each atom.
Positions (direct):
Fe: 0.2500 0.2500 0.2500  4 Fe 2.53, 4 Al 2.53
Fe: 0.5000 0.5000 0.5000  4 Tc 2.53, 4 Fe 2.53
Tc: 0.7500 0.7500 0.7500  4 Fe 2.53, 4 Al 2.53
Al: 0.0000 0.0000 0.0000  4 Tc 2.53, 4 Fe 2.53

## Properties
As for the volume: 50 Å³/f.u. Its electronic total energy is -7.80 eV per atom.



Material: AlFeTc
Method: DFT, PBE
State: relaxed

abc: 4.0170 4.0170 4.0170
angles: 60.00 60.00 60.00
With the nearest neighbours (Å) after each atom.
Positions (direct):
Tc: 0.0000 0.0000 0.0000  4 Fe 2.46, 4 Al 2.46
Al: 0.2500 0.2500 0.2500  4 Tc 2.46
Fe: 0.7500 0.7500 0.7500  4 Tc 2.46

## Properties
As for the volume: 46 Å³/f.u. The value obtained for the polymorph energy (0 for the lowest one) is 0 kJ/mol of formula units.



Material: AlFeTc2
Method: DFT, PBE
State: relaxed

abc: 4.2270 4.2270 4.2270
angles: 60.00 60.00 60.00
With the nearest neighbours (Å) after each atom.
Positions (direct):
Tc: 0.7500 0.7500 0.7500  4 Tc 2.59, 4 Al 2.59
Tc: 0.0000 0.0000 0.0000  4 Tc 2.59, 4 Fe 2.59
Al: 0.5000 0.5000 0.5000  4 Fe 2.59, 4 Tc 2.59
Fe: 0.2500 0.2500 0.2500  4 Al 2.59, 4 Tc 2.59

## Properties
As for the volume: 53 Å³/f.u. Its electronic total energy is -8.29 eV per atom.



Material: YAlFeTc
Method: DFT, PBE
State: relaxed

abc: 4.6019 4.6019 4.6019
angles: 60.00 60.00 60.00
With the nearest neighbours (Å) after each atom.
Positions (direct):
Fe: 0.7500 0.7500 0.7500  4 Tc 2.82, 4 Al 2.82
Tc: 0.5000 0.5000 0.5000  4 Fe 2.82, 4 Y 2.82
Al: 0.0000 0.0000 0.0000  4 Fe 2.82, 4 Y 2.82
Y: 0.2500 0.2500 0.2500  4 Tc 2.82, 4 Al 2.82

## Properties
As for the volume: 69 Å³/f.u. The value obtained for the polymorph energy (0 for the lowest one) is 62 kJ/mol of formula units.